Entry 1:
{
  "formula": "NiSnSbTe2",
  "functional": "PBE",
  "state": "relaxed",
  "lattice_angstrom": [[5.676, 0.000, 0.000], [0.000, 5.676, 0.000], [0.000, 0.000, 5.640]],
  "species": ["Te", "Te", "Sb", "Sn", "Ni"],
  "frac_coords": [[0.500, 0.000, 0.000], [0.000, 0.500, 0.000], [0.000, 0.000, 0.500], [0.000, 0.000, 0.000], [0.500, 0.500, 0.500]],
  "formation_energy_uncorrected_mev_per_atom": 1149,
  "vol_a3_per_atom": 36.34,
  "relative_energy_kj_per_mol_atoms": 93.8
}

Entry 2:
{
  "formula": "NiSnSbTe2",
  "functional": "PBE",
  "state": "relaxed",
  "lattice_angstrom": [[5.345, 0.000, 0.000], [0.000, 5.345, 0.000], [0.000, 0.000, 4.748]],
  "species": ["Sn", "Te", "Te", "Sb", "Ni"],
  "frac_coords": [[0.500, 0.500, 0.500], [0.000, 0.500, 0.000], [0.500, 0.000, 0.000], [0.000, 0.000, 0.500], [0.000, 0.000, 0.000]],
  "formation_energy_uncorrected_mev_per_atom": 177,
  "vol_a3_per_atom": 27.13,
  "relative_energy_kj_per_mol_atoms": 0.0
}

Entry 3:
{
  "formula": "ZnNi7Sn2Sb2",
  "functional": "PBE",
  "state": "relaxed",
  "lattice_angstrom": [[-2.886, 2.207, -0.675], [-1.510, -2.698, -2.025], [-7.784, -5.222, 11.038]],
  "species": ["Ni", "Ni", "Ni", "Ni", "Ni", "Ni", "Ni", "Sb", "Sb", "Zn", "Sn", "Sn"],
  "frac_coords": [[0.375, 0.375, 0.413], [0.967, 0.467, 0.119], [0.625, 0.625, 0.587], [0.500, 0.500, 0.000], [0.533, 0.033, 0.881], [0.033, 0.533, 0.881], [0.467, 0.967, 0.119], [0.565, 0.565, 0.763], [0.435, 0.435, 0.237], [0.000, 0.000, 0.000], [0.136, 0.136, 0.588], [0.864, 0.864, 0.412]],
  "formation_energy_uncorrected_mev_per_atom": -76,
  "vol_a3_per_atom": 16.41
}

Entry 4:
{
  "formula": "SrNi6Sb2",
  "functional": "PBE",
  "state": "relaxed",
  "lattice_angstrom": [[-3.499, -2.713, -0.129], [3.480, -4.372, -2.438], [2.356, -3.257, 4.583]],
  "species": ["Ni", "Ni", "Ni", "Ni", "Ni", "Ni", "Sb", "Sb", "Sr"],
  "frac_coords": [[0.743, 0.552, 0.904], [0.500, 0.314, 0.686], [0.743, 0.904, 0.552], [0.257, 0.096, 0.448], [0.500, 0.686, 0.314], [0.257, 0.448, 0.096], [0.229, 0.674, 0.674], [0.771, 0.326, 0.326], [0.000, 0.000, 0.000]],
  "formation_energy_uncorrected_mev_per_atom": -14,
  "vol_a3_per_atom": 17.43
}

Entry 5:
{
  "formula": "SrNi6Sb4",
  "functional": "PBE",
  "state": "relaxed",
  "lattice_angstrom": [[6.543, -0.101, -0.148], [-3.115, 5.755, 0.148], [-3.115, -1.978, 5.406]],
  "species": ["Ni", "Ni", "Ni", "Ni", "Ni", "Ni", "Sb", "Sb", "Sb", "Sb", "Sr"],
  "frac_coords": [[0.689, 0.248, 0.248], [0.000, 0.441, 0.752], [0.000, 0.752, 0.441], [0.500, 0.500, 0.000], [0.500, 0.000, 0.500], [0.311, 0.559, 0.559], [0.415, 0.881, 0.881], [0.000, 0.534, 0.119], [0.585, 0.466, 0.466], [0.000, 0.119, 0.534], [0.000, 0.000, 0.000]],
  "formation_energy_uncorrected_mev_per_atom": -222,
  "vol_a3_per_atom": 18.21
}

Entry 6:
{
  "formula": "SrNi4Sb4",
  "functional": "PBE",
  "state": "relaxed",
  "lattice_angstrom": [[5.208, 0.000, 0.000], [0.000, 8.590, 0.000], [0.000, 0.000, 8.590]],
  "species": ["Sb", "Sb", "Sb", "Sb", "Sb", "Sb", "Sb", "Sb", "Sr", "Sr", "Ni", "Ni", "Ni", "Ni", "Ni", "Ni", "Ni", "Ni"],
  "frac_coords": [[0.419, 0.354, 0.872], [0.581, 0.872, 0.646], [0.081, 0.854, 0.372], [0.581, 0.128, 0.354], [0.919, 0.372, 0.146], [0.919, 0.628, 0.854], [0.081, 0.146, 0.628], [0.419, 0.646, 0.128], [0.000, 0.000, 0.000], [0.500, 0.500, 0.500], [0.917, 0.330, 0.839], [0.583, 0.170, 0.661], [0.083, 0.839, 0.670], [0.083, 0.161, 0.330], [0.417, 0.339, 0.170], [0.417, 0.661, 0.830], [0.583, 0.830, 0.339], [0.917, 0.670, 0.161]],
  "formation_energy_uncorrected_mev_per_atom": -241,
  "vol_a3_per_atom": 21.35
}

Entry 7:
{
  "formula": "SrNiSb4",
  "functional": "PBE",
  "state": "relaxed",
  "lattice_angstrom": [[-2.023, -4.289, -4.063], [-5.771, 0.403, -2.351], [-0.829, 1.527, -5.998]],
  "species": ["Sb", "Sb", "Sb", "Sb", "Sr", "Ni"],
  "frac_coords": [[0.879, 0.374, 0.374], [0.374, 0.374, 0.879], [0.374, 0.879, 0.374], [0.374, 0.374, 0.374], [0.750, 0.750, 0.750], [0.000, 0.000, 0.000]],
  "formation_energy_uncorrected_mev_per_atom": 192,
  "vol_a3_per_atom": 28.70
}

Entry 8:
{
  "formula": "SrNiSb",
  "functional": "PBE",
  "state": "relaxed",
  "lattice_angstrom": [[5.419, -0.208, -0.012], [2.222, 4.947, 0.012], [-3.524, -2.848, 2.980]],
  "species": ["Sb", "Ni", "Sr"],
  "frac_coords": [[0.309, 0.309, 0.000], [0.035, 0.035, 0.000], [0.656, 0.656, 0.000]],
  "formation_energy_uncorrected_mev_per_atom": -42,
  "vol_a3_per_atom": 27.11
}

Entry 9:
{
  "formula": "SrNi12Sb6",
  "functional": "PBE",
  "state": "relaxed",
  "lattice_angstrom": [[7.483, -0.336, -0.474], [-2.181, 7.166, -0.474], [-2.181, -2.809, 6.610]],
  "species": ["Sb", "Sb", "Sb", "Sb", "Sb", "Sb", "Ni", "Ni", "Ni", "Ni", "Ni", "Ni", "Ni", "Ni", "Ni", "Ni", "Ni", "Ni", "Sr"],
  "frac_coords": [[0.588, 0.219, 0.219], [0.219, 0.588, 0.219], [0.781, 0.412, 0.781], [0.412, 0.781, 0.781], [0.781, 0.781, 0.412], [0.219, 0.219, 0.588], [0.913, 0.579, 0.579], [0.087, 0.421, 0.421], [0.421, 0.421, 0.087], [0.579, 0.913, 0.579], [0.164, 0.500, 0.836], [0.579, 0.579, 0.913], [0.836, 0.500, 0.164], [0.500, 0.164, 0.836], [0.421, 0.087, 0.421], [0.164, 0.836, 0.500], [0.836, 0.164, 0.500], [0.500, 0.836, 0.164], [0.000, 0.000, 0.000]],
  "formation_energy_uncorrected_mev_per_atom": -130,
  "vol_a3_per_atom": 17.32
}

Entry 10:
{
  "formula": "Sr4NiSb",
  "functional": "PBE",
  "state": "relaxed",
  "lattice_angstrom": [[-1.387, -0.900, 6.617], [-5.265, 3.262, 2.855], [-5.557, -3.481, 1.877]],
  "species": ["Sb", "Sr", "Sr", "Sr", "Sr", "Ni"],
  "frac_coords": [[0.000, 0.000, 0.000], [0.375, 0.876, 0.375], [0.375, 0.375, 0.375], [0.876, 0.375, 0.375], [0.375, 0.375, 0.876], [0.750, 0.750, 0.750]],
  "formation_energy_uncorrected_mev_per_atom": 570,
  "vol_a3_per_atom": 37.39
}

Entry 11:
{
  "formula": "SrNiSb",
  "functional": "PBE",
  "state": "relaxed",
  "lattice_angstrom": [[-1.429, -0.542, -3.533], [4.376, 0.151, 0.303], [-1.386, -10.679, 2.199]],
  "species": ["Sb", "Sb", "Ni", "Ni", "Sr", "Sr"],
  "frac_coords": [[0.528, 0.057, 0.869], [0.472, 0.943, 0.131], [0.154, 0.308, 0.047], [0.846, 0.692, 0.953], [0.823, 0.647, 0.333], [0.177, 0.353, 0.667]],
  "formation_energy_uncorrected_mev_per_atom": -314,
  "vol_a3_per_atom": 27.44
}